[1]
## HoPd12Pb6 (PBE-GGA)

Data for a relaxed structure of HoPd12Pb6.

Results
Fermi-level density of states ... 7.49 states/eV/f.u.
ΔH_f (0 K) ... -0.191 eV per atom

```
HoPd12Pb6
1.0
6.121 3.534 3.064
-6.121 3.534 3.064
0.000 -7.068 3.064
Ho Pd Pb
1 12 6
direct
0.000 0.000 0.000
0.102 0.338 0.338
0.114 0.500 0.886
0.114 0.886 0.500
0.338 0.102 0.338
0.338 0.338 0.102
0.500 0.114 0.886
0.500 0.886 0.114
0.662 0.662 0.898
0.662 0.898 0.662
0.886 0.114 0.500
0.886 0.500 0.114
0.898 0.662 0.662
0.280 0.280 0.691
0.280 0.691 0.280
0.309 0.720 0.720
0.691 0.280 0.280
0.720 0.309 0.720
0.720 0.720 0.309
```

***

[2]
## Pr3TlSe2 (PBE-GGA)

Data for a relaxed structure of Pr3TlSe2.

Results
Formation energy without anion corrections ... -1360 meV/atom
Fermi-level density of states ... 1.63 states/eV/f.u.

```
Pr3TlSe2
1.0
4.258 0.000 0.000
0.000 6.192 0.000
0.000 0.000 13.444
Pr Tl Se
6 2 4
direct
0.000 0.000 0.000
0.000 0.000 0.322
0.000 0.000 0.678
0.500 0.500 0.178
0.500 0.500 0.500
0.500 0.500 0.822
0.000 0.500 0.000
0.500 0.000 0.500
0.000 0.500 0.336
0.000 0.500 0.664
0.500 0.000 0.164
0.500 0.000 0.836
```

***

[3]
## Tm2Zn5Ni2Rh (PBE-GGA)

Data for a relaxed structure of Tm2Zn5Ni2Rh.

Results
Fermi-level density of states ... 4.04 states/eV/f.u.
ΔH_f (0 K) ... -0.400 eV per atom

```
Tm2Zn5Ni2Rh
1.0
8.978 0.000 0.000
0.000 8.978 0.000
0.000 0.000 3.981
Tm Zn Ni Rh
4 10 4 2
direct
0.181 0.319 0.000
0.319 0.819 0.000
0.681 0.181 0.000
0.819 0.681 0.000
0.000 0.500 0.500
0.058 0.798 0.500
0.202 0.058 0.500
0.298 0.558 0.500
0.442 0.298 0.500
0.500 0.000 0.500
0.558 0.702 0.500
0.702 0.442 0.500
0.798 0.942 0.500
0.942 0.202 0.500
0.113 0.613 0.000
0.387 0.113 0.000
0.613 0.887 0.000
0.887 0.387 0.000
0.000 0.000 0.000
0.500 0.500 0.000
```

***

[4]
## Tb4H2Se5 (PBE-GGA)

Data for a relaxed structure of Tb4H2Se5.

Results
Raw total energy ... -5.3035 eV/atom

```
Tb4H2Se5
1.0
8.386 -2.059 0.000
8.386 2.059 0.000
-1.133 0.000 7.607
Tb H Se
4 2 5
direct
0.024 0.024 0.257
0.290 0.290 0.779
0.710 0.710 0.221
0.976 0.976 0.743
0.427 0.427 0.811
0.573 0.573 0.189
0.140 0.140 0.962
0.174 0.174 0.449
0.500 0.500 0.500
0.826 0.826 0.551
0.860 0.860 0.038
```

***

[5]
## Ce4Pm3ThS8 (PBE-GGA)

Data for a relaxed structure of Ce4Pm3ThS8.

Results
Formation energy without anion corrections ... -2020 meV/atom
Fermi-level density of states ... 22.33 states/eV/f.u.

```
Ce4Pm3ThS8
1.0
4.030 2.327 6.576
-4.030 2.327 6.576
0.000 -4.654 6.576
Ce Pm Th S
4 3 1 8
direct
0.000 0.000 0.000
0.000 0.500 0.500
0.500 0.000 0.500
0.500 0.500 0.000
0.000 0.000 0.500
0.000 0.500 0.000
0.500 0.000 0.000
0.500 0.500 0.500
0.249 0.249 0.751
0.249 0.751 0.249
0.249 0.751 0.751
0.250 0.250 0.250
0.750 0.750 0.750
0.751 0.249 0.249
0.751 0.249 0.751
0.751 0.751 0.249
```

***

[6]
## Pm3Ho4Er3 (PBE-GGA)

Data for a relaxed structure of Pm3Ho4Er3.

Results
Fermi-level density of states ... 7.58 states/eV/f.u.
ΔH_f (0 K) ... 0.098 eV per atom

```
Pm3Ho4Er3
1.0
3.675 0.000 0.000
0.000 6.615 6.645
0.000 -6.615 6.645
Pm Ho Er
3 4 3
direct
0.000 0.000 0.000
0.000 0.499 0.846
0.000 0.846 0.499
0.500 0.050 0.300
0.500 0.300 0.050
0.500 0.546 0.546
0.500 0.799 0.799
0.000 0.346 0.346
0.500 0.175 0.667
0.500 0.667 0.175
```

***

[7]
## Ce2Al5Pd2Rh (PBE-GGA)

Data for a relaxed structure of Ce2Al5Pd2Rh.

Results
Fermi-level density of states ... 11.59 states/eV/f.u.
ΔH_f (0 K) ... -0.647 eV per atom

```
Ce2Al5Pd2Rh
1.0
11.032 0.000 0.000
0.000 11.032 0.000
0.000 0.000 2.969
Ce Al Pd Rh
4 10 4 2
direct
0.174 0.326 0.000
0.326 0.826 0.000
0.674 0.174 0.000
0.826 0.674 0.000
0.000 0.500 0.500
0.055 0.816 0.500
0.184 0.055 0.500
0.316 0.555 0.500
0.445 0.316 0.500
0.500 0.000 0.500
0.555 0.684 0.500
0.684 0.445 0.500
0.816 0.945 0.500
0.945 0.184 0.500
0.135 0.635 0.000
0.365 0.135 0.000
0.635 0.865 0.000
0.865 0.365 0.000
0.000 0.000 0.000
0.500 0.500 0.000
```

***

[8]
## Na2BeSn (PBE-GGA)

Data for a relaxed structure of Na2BeSn.

Results
E above lowest polymorph ... 204 meV per atom
Fermi-level density of states ... 2.25 states/eV/f.u.
ΔH_f (0 K) ... 0.446 eV per atom

```
Na2BeSn
1.0
7.136 0.000 0.000
0.000 7.136 0.000
0.000 0.000 7.136
Na Be Sn
8 4 4
direct
0.250 0.250 0.250
0.250 0.250 0.750
0.250 0.750 0.250
0.250 0.750 0.750
0.750 0.250 0.250
0.750 0.250 0.750
0.750 0.750 0.250
0.750 0.750 0.750
0.000 0.000 0.000
0.000 0.500 0.500
0.500 0.000 0.500
0.500 0.500 0.000
0.000 0.000 0.500
0.000 0.500 0.000
0.500 0.000 0.000
0.500 0.500 0.500
```